(1)
The following is a SCAN calculation of a PBEsol-optimized structure of Ba3Fe, from Alexandria.

CIF file:
```
data_Ba3Fe
_chemical_formula_sum 'Ba9 Fe3'
_cell_length_a 11.7930
_cell_length_b 11.7930
_cell_length_c 4.0261
_cell_angle_alpha 90.00
_cell_angle_beta 90.00
_cell_angle_gamma 120.00
_space_group_name_H-M_alt 'R -3 m'
_space_group_IT_number 166
_space_group_name_Hall '-R 3 2"'
loop_
_atom_site_label
_atom_site_type_symbol
_atom_site_fract_x
_atom_site_fract_y
_atom_site_fract_z
Ba1 Ba 0.0000 0.5000 0.0000
Fe1 Fe 0.0000 0.0000 0.0000
```

Output
Its polymorph energy (0 for the lowest one) is 41.8 kJ/mol of formula units. The formation energy from the elements comes out at 0.66 eV per atom.

---

(2)
The following is a SCAN calculation of a PBEsol-optimized structure of Ba2GaFePt, from Alexandria.

CIF file:
```
data_Ba2GaFePt
_chemical_formula_sum 'Ba2 Ga1 Fe1 Pt1'
_cell_length_a 6.003
_cell_length_b 6.003
_cell_length_c 4.756
_cell_angle_alpha 90.00
_cell_angle_beta 90.00
_cell_angle_gamma 90.00
_space_group_name_H-M_alt 'P 4/m m m'
_space_group_IT_number 123
_space_group_name_Hall '-P 4 2'
loop_
_atom_site_label
_atom_site_type_symbol
_atom_site_fract_x
_atom_site_fract_y
_atom_site_fract_z
Ba1 Ba 0.000 0.500 0.000
Ga1 Ga 0.000 0.000 0.500
Fe1 Fe 0.500 0.500 0.500
Pt1 Pt 0.000 0.000 0.000
```

Output
The formation energy from the elements comes out at -0.07 eV per atom.

---

Please write out number 1 again, unchanged.
The following is a SCAN calculation of a PBEsol-optimized structure of Ba3Fe, from Alexandria.

CIF file:
```
data_Ba3Fe
_chemical_formula_sum 'Ba9 Fe3'
_cell_length_a 11.7930
_cell_length_b 11.7930
_cell_length_c 4.0261
_cell_angle_alpha 90.00
_cell_angle_beta 90.00
_cell_angle_gamma 120.00
_space_group_name_H-M_alt 'R -3 m'
_space_group_IT_number 166
_space_group_name_Hall '-R 3 2"'
loop_
_atom_site_label
_atom_site_type_symbol
_atom_site_fract_x
_atom_site_fract_y
_atom_site_fract_z
Ba1 Ba 0.0000 0.5000 0.0000
Fe1 Fe 0.0000 0.0000 0.0000
```

Output
Its polymorph energy (0 for the lowest one) is 41.8 kJ/mol of formula units. The formation energy from the elements comes out at 0.66 eV per atom.